Entry 1:
# Mn8O13F3 (PBE with a Hubbard U, relaxed)
data_Mn8O13F3
_cell_length_a 4.9890
_cell_length_b 7.0802
_cell_length_c 7.1907
_cell_angle_alpha 101.68
_cell_angle_beta 90.51
_cell_angle_gamma 90.26
_space_group_name_H-M_alt 'P 1'
_space_group_IT_number 1
_space_group_name_Hall 'P 1'
loop_
_atom_site_label
_atom_site_type_symbol
_atom_site_fract_x
_atom_site_fract_y
_atom_site_fract_z
Mn1 Mn 0.0000 0.0000 0.0000
Mn2 Mn 0.0010 0.4844 0.5145
Mn3 Mn 0.4690 0.3418 0.1478
Mn4 Mn 0.4840 0.3255 0.6685
Mn5 Mn 0.4998 0.8260 0.6631
Mn6 Mn 0.5180 0.8442 0.1490
Mn7 Mn 0.9689 0.4769 0.0109
Mn8 Mn 0.9798 0.9840 0.5108
O1 O 0.1492 0.4714 0.2555
O2 O 0.1576 0.2332 0.5203
O3 O 0.1703 0.9640 0.7456
O4 O 0.2896 0.3460 0.9189
O5 O 0.3237 0.5756 0.6399
O6 O 0.3290 0.0837 0.1409
O7 O 0.6525 0.5868 0.1414
O8 O 0.6620 0.0742 0.6356
O9 O 0.6777 0.8534 0.9128
O10 O 0.7905 0.2466 0.0176
O11 O 0.8152 0.4694 0.7531
O12 O 0.8209 0.7321 0.5182
O13 O 0.8341 0.9714 0.2525
F1 F 0.1739 0.7255 0.0183
F2 F 0.3145 0.8486 0.3940
F3 F 0.6637 0.3500 0.3959
# * energy: -6.929 eV/atom

=====

Entry 2:
# Mn8O13F3 (PBE with a Hubbard U, relaxed)
data_Mn8O13F3
_cell_length_a 4.9946
_cell_length_b 5.5234
_cell_length_c 9.0204
_cell_angle_alpha 89.36
_cell_angle_beta 89.47
_cell_angle_gamma 89.74
_space_group_name_H-M_alt 'P 1'
_space_group_IT_number 1
_space_group_name_Hall 'P 1'
loop_
_atom_site_label
_atom_site_type_symbol
_atom_site_fract_x
_atom_site_fract_y
_atom_site_fract_z
Mn1 Mn 0.0000 0.0000 0.0000
Mn2 Mn 0.0000 0.4494 0.2521
Mn3 Mn 0.0019 0.5063 0.7571
Mn4 Mn 0.4858 0.6869 0.5074
Mn5 Mn 0.5005 0.1825 0.2520
Mn6 Mn 0.5163 0.6887 0.0002
Mn7 Mn 0.5183 0.1940 0.7578
Mn8 Mn 0.9995 0.9867 0.4986
O1 O 0.1652 0.7283 0.6164
O2 O 0.1788 0.2189 0.1376
O3 O 0.3198 0.4323 0.3707
O4 O 0.3271 0.9363 0.3803
O5 O 0.3376 0.4532 0.8689
O6 O 0.3379 0.9520 0.8902
O7 O 0.6689 0.9471 0.6144
O8 O 0.6784 0.4506 0.6361
O9 O 0.6779 0.9426 0.1216
O10 O 0.6788 0.4366 0.1351
O11 O 0.8216 0.2143 0.3660
O12 O 0.8380 0.2323 0.8632
O13 O 0.8411 0.7330 0.8902
F1 F 0.1717 0.7050 0.1268
F2 F 0.1881 0.2294 0.6390
F3 F 0.8201 0.6944 0.3770
# * energy: -6.927 eV/atom

=====

Entry 3:
# Mn6O5F7 (PBE with a Hubbard U, relaxed)
data_Mn6O5F7
_cell_length_a 4.7667
_cell_length_b 5.6739
_cell_length_c 7.9236
_cell_angle_alpha 86.30
_cell_angle_beta 89.76
_cell_angle_gamma 89.20
_space_group_name_H-M_alt 'P 1'
_space_group_IT_number 1
_space_group_name_Hall 'P 1'
loop_
_atom_site_label
_atom_site_type_symbol
_atom_site_fract_x
_atom_site_fract_y
_atom_site_fract_z
Mn1 Mn 0.0000 0.0000 0.0000
Mn2 Mn 0.0033 0.6710 0.3339
Mn3 Mn 0.4551 0.8387 0.6623
Mn4 Mn 0.5268 0.1438 0.3270
Mn5 Mn 0.5525 0.4927 0.0157
Mn6 Mn 0.9967 0.3232 0.6898
O1 O 0.1780 0.0392 0.7770
O2 O 0.3063 0.8740 0.4261
O3 O 0.7050 0.4438 0.2423
O4 O 0.8126 0.2936 0.9122
O5 O 0.8150 0.9372 0.2165
F1 F 0.1975 0.3768 0.4531
F2 F 0.2267 0.6987 0.0868
F3 F 0.3018 0.2006 0.1129
F4 F 0.3268 0.5199 0.7895
F5 F 0.6922 0.8025 0.8863
F6 F 0.6985 0.1312 0.5626
F7 F 0.8070 0.6204 0.5881
# * energy: -6.659 eV/atom

=====

Entry 4:
# Mn3OF5 (PBE with a Hubbard U, relaxed)
data_Mn3OF5
_cell_length_a 6.9835
_cell_length_b 3.2144
_cell_length_c 10.9840
_cell_angle_alpha 90.00
_cell_angle_beta 108.20
_cell_angle_gamma 90.00
_space_group_name_H-M_alt 'P 1 m 1'
_space_group_IT_number 6
_space_group_name_Hall 'P -2y'
loop_
_atom_site_label
_atom_site_type_symbol
_atom_site_fract_x
_atom_site_fract_y
_atom_site_fract_z
Mn1 Mn 0.0000 0.0000 0.0000
Mn2 Mn 0.1517 0.5000 0.3451
Mn3 Mn 0.3411 0.0000 0.6826
Mn4 Mn 0.5103 0.5000 0.0226
Mn5 Mn 0.6948 0.0000 0.3585
Mn6 Mn 0.8475 0.5000 0.6976
O1 O 0.9419 0.5000 0.8838
O2 O 0.9816 0.0000 0.3485
F1 F 0.0359 0.0000 0.6837
F2 F 0.0681 0.5000 0.1311
F3 F 0.2864 0.5000 0.5519
F4 F 0.3143 0.0000 0.0225
F5 F 0.3589 0.0000 0.3472
F6 F 0.4063 0.5000 0.8167
F7 F 0.6036 0.5000 0.2292
F8 F 0.6497 0.0000 0.6886
F9 F 0.7084 0.0000 0.0250
F10 F 0.7424 0.5000 0.4964
# * energy: -6.495 eV/atom

=====

Entry 5:
# Mn6O7F5 (PBE with a Hubbard U, relaxed)
data_Mn6O7F5
_cell_length_a 5.5300
_cell_length_b 5.5785
_cell_length_c 7.3502
_cell_angle_alpha 73.56
_cell_angle_beta 72.21
_cell_angle_gamma 71.61
_space_group_name_H-M_alt 'P 1'
_space_group_IT_number 1
_space_group_name_Hall 'P 1'
loop_
_atom_site_label
_atom_site_type_symbol
_atom_site_fract_x
_atom_site_fract_y
_atom_site_fract_z
Mn1 Mn 0.0000 0.0000 0.0000
Mn2 Mn 0.0055 0.0834 0.5252
Mn3 Mn 0.2955 0.4338 0.6862
Mn4 Mn 0.3111 0.3718 0.1901
Mn5 Mn 0.6496 0.7227 0.8521
Mn6 Mn 0.6581 0.7267 0.3624
O1 O 0.0038 0.7354 0.6919
O2 O 0.0891 0.1881 0.7131
O3 O 0.2940 0.7096 0.0157
O4 O 0.3452 0.0322 0.3598
O5 O 0.5479 0.6373 0.6465
O6 O 0.7493 0.8042 0.0693
O7 O 0.9633 0.4196 0.3588
F1 F 0.2164 0.2367 0.9914
F2 F 0.4294 0.4947 0.3800
F3 F 0.6217 0.1289 0.6770
F4 F 0.6879 0.3132 0.0283
F5 F 0.8950 0.9659 0.3302
# * energy: -6.783 eV/atom

=====

Entry 6:
# Mn2OF3 (PBE with a Hubbard U, relaxed)
data_Mn2OF3
_cell_length_a 4.8750
_cell_length_b 5.8032
_cell_length_c 13.4685
_cell_angle_alpha 101.26
_cell_angle_beta 90.81
_cell_angle_gamma 91.91
_space_group_name_H-M_alt 'P 1'
_space_group_IT_number 1
_space_group_name_Hall 'P 1'
loop_
_atom_site_label
_atom_site_type_symbol
_atom_site_fract_x
_atom_site_fract_y
_atom_site_fract_z
Mn1 Mn 0.0000 0.0000 0.0000
Mn2 Mn 0.0010 0.2015 0.7997
Mn3 Mn 0.0031 0.4120 0.6026
Mn4 Mn 0.0100 0.7965 0.1995
Mn5 Mn 0.4944 0.9024 0.5991
Mn6 Mn 0.4978 0.2947 0.1982
Mn7 Mn 0.5020 0.7044 0.8008
Mn8 Mn 0.5030 0.4998 0.9996
Mn9 Mn 0.5129 0.1077 0.4075
Mn10 Mn 0.9671 0.5769 0.3951
O1 O 0.3224 0.6692 0.6639
O2 O 0.3225 0.2624 0.0625
O3 O 0.6780 0.3374 0.3358
O4 O 0.6797 0.7375 0.9373
O5 O 0.6814 0.1435 0.5407
F1 F 0.1820 0.3416 0.4602
F2 F 0.2009 0.9356 0.8583
F3 F 0.2054 0.5290 0.2593
F4 F 0.2170 0.1371 0.6592
F5 F 0.2190 0.7392 0.0605
F6 F 0.2930 0.8429 0.4600
F7 F 0.3042 0.4357 0.8643
F8 F 0.3064 0.0340 0.2710
F9 F 0.6967 0.9681 0.7343
F10 F 0.7036 0.5614 0.1343
F11 F 0.7783 0.6736 0.5412
F12 F 0.7875 0.2618 0.9392
F13 F 0.7889 0.8392 0.3352
F14 F 0.8014 0.4714 0.7430
F15 F 0.8027 0.0643 0.1429
# * energy: -6.429 eV/atom